Compound: TbH2
Source: Alexandria via LeMat-Bulk
Functional: PBEsol
Structure: optimized geometry

Computed properties:
The value obtained for the mass density is 7.79 g cm⁻³. The calculation puts the density of states at the Fermi level at 0.74 states/eV/cell. The value obtained for the calculated total energy is -13.81 eV/cell.

Lattice parameters (Å, degrees): 3.647 3.647 3.647 60.00 60.00 60.00
Positions (direct):
H 0.250 0.250 0.250
H 0.750 0.750 0.750
Tb 0.000 0.000 0.000


Compound: La11V4O26
Source: Alexandria via LeMat-Bulk
Functional: PBEsol
Structure: optimized geometry

Computed properties:
The value obtained for the mass density is 5.57 g cm⁻³. The calculation puts the density of states at the Fermi level at 7.64 states/eV/cell. The value obtained for the calculated total energy is -365.91 eV/cell.

Lattice parameters (Å, degrees): 7.008 10.082 10.216 77.72 71.76 70.25
Site moments in Bohr magnetons follow the coordinates.
Positions (direct):
La 0.585 0.655 0.841  0.01
O 0.692 0.907 0.407  0.00
O 0.233 0.846 0.248  -0.01
V 0.281 0.273 0.543  0.09
O 0.326 0.608 0.082  0.01
O 0.770 0.272 0.167  0.00
O 0.862 0.920 0.009  0.00
O 0.941 0.580 0.867  0.00
O 0.464 0.728 0.498  0.00
O 0.230 0.728 0.833  0.00
O 0.396 0.263 0.939  0.01
La 0.979 0.670 0.047  0.01
La 0.828 0.362 0.339  0.00
O 0.050 0.893 0.615  0.00
O 0.488 0.093 0.201  0.00
La 0.281 0.984 0.405  0.00
O 0.059 0.420 0.133  0.00
La 0.415 0.345 0.159  0.01
O 0.180 0.316 0.400  0.00
O 0.674 0.392 0.918  0.01
O 0.308 0.093 0.593  0.00
O 0.767 0.154 0.752  -0.01
O 0.487 0.533 0.300  -0.01
O 0.536 0.272 0.502  0.00
O 0.820 0.684 0.600  0.00
La 0.172 0.638 0.661  0.00
O 0.604 0.737 0.061  0.01
O 0.512 0.907 0.799  0.00
V 0.598 0.318 0.809  0.45
O 0.950 0.107 0.385  0.00
V 0.402 0.682 0.191  0.45
V 0.719 0.727 0.457  0.09
O 0.513 0.467 0.700  -0.01
La 0.878 0.028 0.193  0.00
La 0.719 0.016 0.595  0.00
La 0.021 0.330 0.953  0.01
La 0.122 0.972 0.807  0.00
O 0.861 0.630 0.323  0.00
O 0.138 0.080 0.991  0.00
La 0.500 0.000 0.000  0.00
O 0.139 0.370 0.677  0.00


Compound: Al5HO8
Source: Alexandria via LeMat-Bulk
Functional: PBEsol
Structure: optimized geometry

Computed properties:
The value obtained for the mass density is 3.69 g cm⁻³. The calculation puts the density of states at the Fermi level at 0.00 states/eV/cell. The value obtained for the calculated total energy is -211.62 eV/cell.

Lattice parameters (Å, degrees): 5.593 5.593 8.756 90.00 90.00 120.00
Positions (direct):
Al 0.333 0.667 0.842
Al 0.834 0.166 0.634
H 0.000 0.000 0.900
Al 0.333 0.667 0.454
O 0.000 0.000 0.014
O 0.030 0.515 0.999
Al 0.166 0.834 0.134
O 0.485 0.515 0.999
O 0.668 0.834 0.738
O 0.515 0.030 0.499
Al 0.669 0.834 0.134
O 0.834 0.668 0.238
O 0.515 0.485 0.499
O 0.667 0.333 0.746
O 0.166 0.834 0.738
O 0.333 0.667 0.246
Al 0.834 0.669 0.634
Al 0.667 0.333 0.954
O 0.485 0.970 0.999
O 0.970 0.485 0.499
O 0.000 0.000 0.514
Al 0.331 0.166 0.634
O 0.332 0.166 0.238
Al 0.166 0.331 0.134
Al 0.667 0.333 0.342
H 0.000 0.000 0.400
O 0.166 0.332 0.738
O 0.834 0.166 0.238